Model 1:
CdAs2WBr after structural relaxation. Source: the Alexandria database, functional PBE.

Cell lengths 4.8731, 4.8731, 5.4445 Å; angles 90.00, 90.00, 90.00 degrees
Element x y z (fractional)
Cd1 0.0000 0.0000 0.0000
As1 0.0000 0.5000 0.5000
As2 0.5000 0.0000 0.5000
W1 0.5000 0.5000 0.5000
Br1 0.5000 0.5000 0.0000

Summary:
N(E_F) ... 2.9 states/eV/cell
Volume ... 25.9 Å³ per atom

Model 2:
CdAs2WBr after structural relaxation. Source: the Alexandria database, functional PBE.

Cell lengths 5.1020, 5.1020, 5.2959 Å; angles 90.00, 90.00, 90.00 degrees
Element x y z (fractional)
Cd1 0.0000 0.0000 0.0000
As1 0.0000 0.5000 0.0000
As2 0.5000 0.0000 0.0000
W1 0.5000 0.5000 0.5000
Br1 0.0000 0.0000 0.5000

Summary:
N(E_F) ... 4.2 states/eV/cell
Volume ... 27.6 Å³ per atom

Energy relative to the most stable one, in kJ/mol of atoms: model 1 0.0; model 2 120.1

Model 1:
ZrCdAsBr2 after structural relaxation. Source: the Alexandria database, functional PBE.

Cell lengths 5.2203, 5.2203, 5.3969 Å; angles 90.00, 90.00, 90.00 degrees
Element x y z (fractional)
Zr1 0.0000 0.0000 0.0000
Cd1 0.5000 0.5000 0.5000
As1 0.5000 0.5000 0.0000
Br1 0.0000 0.5000 0.5000
Br2 0.5000 0.0000 0.5000

Summary:
N(E_F) ... 5.0 states/eV/cell
Volume ... 29.4 Å³ per atom

Model 2:
ZrCdAsBr2 after structural relaxation. Source: the Alexandria database, functional PBE.

Cell lengths 5.3157, 5.3157, 5.3905 Å; angles 90.00, 90.00, 90.00 degrees
Element x y z (fractional)
Zr1 0.0000 0.0000 0.0000
Cd1 0.5000 0.5000 0.5000
As1 0.0000 0.0000 0.5000
Br1 0.0000 0.5000 0.0000
Br2 0.5000 0.0000 0.0000

Summary:
N(E_F) ... 2.9 states/eV/cell
Volume ... 30.5 Å³ per atom

Energy relative to the most stable one, in kJ/mol of atoms: model 1 82.4; model 2 0.0

Model 1:
CeAsBr after structural relaxation. Source: the Alexandria database, functional PBE.

Cell lengths 11.5306, 11.5306, 11.5306 Å; angles 159.74, 159.74, 28.80 degrees
Element x y z (fractional)
Ce1 0.1677 0.1677 0.0000
Ce2 0.8323 0.8323 0.0000
As1 0.2993 0.2993 0.0000
As2 0.7007 0.7007 0.0000
Br1 0.5714 0.0714 0.5000
Br2 0.9286 0.4286 0.5000

Summary:
N(E_F) ... 2.2 states/eV/cell
Volume ... 30.6 Å³ per atom

Model 2:
CeAsBr after structural relaxation. Source: the Alexandria database, functional PBE.

Cell lengths 6.7986, 6.7986, 4.3573 Å; angles 94.88, 94.88, 65.77 degrees
Element x y z (fractional)
Ce1 0.2129 0.2129 0.2131
Ce2 0.7871 0.7871 0.7869
As1 0.1001 0.7134 0.3347
As2 0.2866 0.8999 0.6653
Br1 0.5178 0.2478 0.7453
Br2 0.7522 0.4822 0.2547

Summary:
N(E_F) ... 12.6 states/eV/cell
Volume ... 30.5 Å³ per atom

Energy relative to the most stable one, in kJ/mol of atoms: model 1 0.0; model 2 25.5

Model 1:
As3BrCl after structural relaxation. Source: the Alexandria database, functional PBE.

Cell lengths 5.0118, 5.0118, 5.0118 Å; angles 90.00, 90.00, 90.00 degrees
Element x y z (fractional)
As1 0.0000 0.0000 0.5000
As2 0.0000 0.5000 0.0000
As3 0.5000 0.0000 0.0000
Br1 0.5000 0.5000 0.5000
Cl1 0.0000 0.0000 0.0000

Summary:
N(E_F) ... 4.1 states/eV/cell
Volume ... 25.2 Å³ per atom

Model 2:
As3BrCl after structural relaxation. Source: the Alexandria database, functional PBE.

Cell lengths 5.1560, 5.1560, 5.1560 Å; angles 90.00, 90.00, 90.00 degrees
Element x y z (fractional)
As1 0.0000 0.0000 0.5000
As2 0.0000 0.5000 0.0000
As3 0.5000 0.0000 0.0000
Br1 0.0000 0.0000 0.0000
Cl1 0.5000 0.5000 0.5000

Summary:
N(E_F) ... 3.7 states/eV/cell
Volume ... 27.4 Å³ per atom

Energy relative to the most stable one, in kJ/mol of atoms: model 1 0.0; model 2 8.0

Model 1:
AsBr3Cl after structural relaxation. Source: the Alexandria database, functional PBE.

Cell lengths 5.2893, 5.2893, 5.2893 Å; angles 90.00, 90.00, 90.00 degrees
Element x y z (fractional)
As1 0.0000 0.0000 0.0000
Br1 0.0000 0.0000 0.5000
Br2 0.0000 0.5000 0.0000
Br3 0.5000 0.0000 0.0000
Cl1 0.5000 0.5000 0.5000

Summary:
N(E_F) ... 6.3 states/eV/cell
Volume ... 29.6 Å³ per atom

Model 2:
AsBr3Cl after structural relaxation. Source: the Alexandria database, functional PBE.

Cell lengths 5.3480, 5.3480, 5.3480 Å; angles 90.00, 90.00, 90.00 degrees
Element x y z (fractional)
As1 0.0000 0.0000 0.0000
Br1 0.0000 0.5000 0.5000
Br2 0.5000 0.0000 0.5000
Br3 0.5000 0.5000 0.0000
Cl1 0.5000 0.5000 0.5000

Summary:
N(E_F) ... 5.8 states/eV/cell
Volume ... 30.6 Å³ per atom

Model 3:
AsBr3Cl after structural relaxation. Source: the Alexandria database, functional PBE.

Cell lengths 6.8253, 7.0074, 10.3685 Å; angles 89.71, 89.97, 89.95 degrees
Element x y z (fractional)
As1 0.0000 0.0000 0.0000
As2 0.5004 0.2410 0.4992
Br1 0.0147 0.3472 0.9990
Br2 0.3500 0.3678 0.3064
Br3 0.3498 0.3680 0.6911
Br4 0.5147 0.8938 0.5008
Br5 0.8494 0.8736 0.8080
Br6 0.8496 0.8733 0.1928
Cl1 0.3054 0.8944 0.0004
Cl2 0.8059 0.3458 0.4991

Summary:
N(E_F) ... 2.9 states/eV/cell
Volume ... 49.6 Å³ per atom

Energy relative to the most stable one, in kJ/mol of atoms: model 1 38.3; model 2 106.3; model 3 0.0

Model 1:
CoAs2BrCl after structural relaxation. Source: the Alexandria database, functional PBE.

Cell lengths 4.6076, 4.6076, 4.9449 Å; angles 90.00, 90.00, 90.00 degrees
Element x y z (fractional)
Co1 0.0000 0.0000 0.0000
As1 0.0000 0.5000 0.0000
As2 0.5000 0.0000 0.0000
Br1 0.0000 0.0000 0.5000
Cl1 0.5000 0.5000 0.5000

Summary:
N(E_F) ... 3.4 states/eV/cell
Volume ... 21.0 Å³ per atom

Model 2:
CoAs2BrCl after structural relaxation. Source: the Alexandria database, functional PBE.

Cell lengths 4.6938, 4.6938, 6.4245 Å; angles 90.00, 90.00, 90.00 degrees
Element x y z (fractional)
Co1 0.0000 0.0000 0.0000
As1 0.0000 0.5000 0.5000
As2 0.5000 0.0000 0.5000
Br1 0.5000 0.5000 0.0000
Cl1 0.5000 0.5000 0.5000

Summary:
N(E_F) ... 8.2 states/eV/cell
Volume ... 28.3 Å³ per atom

Energy relative to the most stable one, in kJ/mol of atoms: model 1 0.0; model 2 97.8